(1)
PBE Y4CoBiN2, optimized geometry; DFT total energy = -7.5952 eV/atom; magnetic moment = 0.6 Bohr magnetons per cell
1.0
3.549 0.000 0.000
-1.774 3.073 0.000
0.000 0.000 14.532
Y Co Bi N
4 1 1 2
Cartesian
0.000 0.000 1.914 Y
0.000 0.000 12.618 Y
0.000 2.049 4.665 Y
0.000 2.049 9.868 Y
0.000 2.049 0.000 Co
0.000 0.000 7.266 Bi
1.774 1.024 3.533 N
1.774 1.024 10.999 N



(2)
PBE Y4CoBiN2, optimized geometry; DFT total energy = -7.5949 eV/atom; magnetic moment = 0.6 Bohr magnetons per cell
1.0
3.544 0.000 0.000
-1.772 3.069 0.000
0.000 0.000 14.536
Y Co Bi N
4 1 1 2
Cartesian
0.000 0.000 1.921 Y
0.000 0.000 12.615 Y
1.772 1.023 4.673 Y
1.772 1.023 9.863 Y
1.772 1.023 0.000 Co
0.000 0.000 7.268 Bi
0.000 2.046 3.525 N
0.000 2.046 11.011 N



(3)
PBE Zr4CoBiN2, optimized geometry; DFT total energy = -8.5781 eV/atom; magnetic moment = 0.5 Bohr magnetons per cell
1.0
3.307 0.000 0.000
-1.654 2.864 0.000
0.000 0.000 13.881
Zr Co Bi N
4 1 1 2
Cartesian
0.000 0.000 1.883 Zr
0.000 0.000 11.997 Zr
1.654 0.955 4.470 Zr
1.654 0.955 9.410 Zr
1.654 0.955 0.000 Co
0.000 0.000 6.940 Bi
0.000 1.909 3.186 N
0.000 1.909 10.695 N